No. 1
Computed, not measured: a relaxed structure of InFeBO4 at the PBE+U level of DFT.

Unit cell a=5.782 b=5.782 c=5.782 alpha=121.16 beta=118.12 gamma=90.64
Fractional positions:
In  0.000  0.000  0.000
In  0.500  0.000  0.500
Fe  0.500  0.000  0.000
Fe  0.500  0.500  0.500
B  0.122  0.372  0.750
B  0.878  0.628  0.250
O  0.194  0.729  0.465
O  0.237  0.271  0.965
O  0.240  0.271  0.531
O  0.240  0.709  0.969
O  0.760  0.291  0.031
O  0.760  0.729  0.469
O  0.763  0.729  0.035
O  0.806  0.271  0.535

Results
**Final energy**: -91.3 eV per cell
**Magnetization**: 4.0 μB/f.u.

No. 2
Computed, not measured: a relaxed structure of InFe2B2O6 at the PBE+U level of DFT.

Unit cell a=5.181 b=5.181 c=6.253 alpha=90.00 beta=90.00 gamma=120.00
Fractional positions:
In  0.000  0.000  0.000
Fe  0.333  0.667  0.292
Fe  0.667  0.333  0.708
B  0.333  0.667  0.761
B  0.667  0.333  0.239
O  0.068  0.672  0.761
O  0.328  0.396  0.761
O  0.396  0.068  0.239
O  0.604  0.932  0.761
O  0.672  0.604  0.239
O  0.932  0.328  0.239

Results
**Final energy**: -75.7 eV per cell
**Density of states at the Fermi level**: 0.239 states/eV/atom
**Magnetization**: 7.9 μB/f.u.

Q: The lowest final energy belongs to which entry?
A: InFeBO4